[1]
PmMnNbGe2 after structural relaxation. Source: Alexandria, functional GGA-PBE.

POSCAR file:
```
PmMnNbGe2
1.0
4.046 0.000 0.000
0.000 4.046 0.000
0.000 0.000 11.783
Pm Mn Nb Ge
2 2 2 4
direct
0.000 0.000 0.000 Pm
0.500 0.500 0.500 Pm
0.000 0.500 0.750 Mn
0.500 0.000 0.250 Mn
0.000 0.500 0.250 Nb
0.500 0.000 0.750 Nb
0.000 0.000 0.390 Ge
0.000 0.000 0.610 Ge
0.500 0.500 0.110 Ge
0.500 0.500 0.890 Ge
```

Results
The formation energy is -0.486 eV per atom.

[2]
MnNbGeRh after structural relaxation. Source: Alexandria, functional GGA-PBE.

POSCAR file:
```
MnNbGeRh
1.0
6.135 0.000 0.000
0.000 6.135 0.000
0.000 0.000 6.135
Mn Nb Ge Rh
4 4 4 4
direct
0.000 0.000 0.000 Mn
0.000 0.500 0.500 Mn
0.500 0.000 0.500 Mn
0.500 0.500 0.000 Mn
0.250 0.250 0.750 Nb
0.250 0.750 0.250 Nb
0.750 0.250 0.250 Nb
0.750 0.750 0.750 Nb
0.250 0.250 0.250 Ge
0.250 0.750 0.750 Ge
0.750 0.250 0.750 Ge
0.750 0.750 0.250 Ge
0.000 0.000 0.500 Rh
0.000 0.500 0.000 Rh
0.500 0.000 0.000 Rh
0.500 0.500 0.500 Rh
```

Results
The formation energy is -0.206 eV per atom.

[3]
MnNbGe2S after structural relaxation. Source: Alexandria, functional GGA-PBE.

POSCAR file:
```
MnNbGe2S
1.0
4.691 0.000 0.000
0.000 4.691 0.000
0.000 0.000 4.486
Mn Nb Ge S
1 1 2 1
direct
0.000 0.000 0.000 Mn
0.500 0.500 0.000 Nb
0.000 0.500 0.500 Ge
0.500 0.000 0.500 Ge
0.500 0.500 0.500 S
```

Results
Its uncorrected energy is -0.19760 hartree per atom.

Number 1: DOS(E_F) 0.7757 states/eV/atom. Number 2: DOS(E_F) 0.9173 states/eV/atom. Number 3: DOS(E_F) 1.5611 states/eV/atom.